Record 1
# La2Sm4C PBE relaxed
# Energy of formation in eV/atom: 0.1308
# Polymorph energy (0 for the lowest one) in meV per atom: 185
# Total magnetization in μB/atom: 0.000
data_La2Sm4C
_chemical_formula_sum 'La4 Sm8 C2'
_symmetry_space_group_name_H-M 'I 4/m m m'
_symmetry_Int_Tables_number 139
_symmetry_space_group_name_Hall '-I 4 2'
_cell_length_a 5.024
_cell_length_b 5.024
_cell_length_c 18.054
_cell_angle_alpha 90.00
_cell_angle_beta 90.00
_cell_angle_gamma 90.00
loop_
_atom_site_label
_atom_site_type_symbol
_atom_site_fract_x
_atom_site_fract_y
_atom_site_fract_z
La1 La 0.000 0.000 0.177
Sm1 Sm 0.000 0.000 0.366
Sm2 Sm 0.000 0.500 0.000
C1 C 0.000 0.000 0.500

=====

Record 2
# La3SmC PBE relaxed
# Energy of formation in eV/atom: 0.0868
# Total magnetization in μB/atom: 0.000
data_La3SmC
_chemical_formula_sum 'La3 Sm1 C1'
_symmetry_space_group_name_H-M 'P m -3 m'
_symmetry_Int_Tables_number 221
_symmetry_space_group_name_Hall '-P 4 2 3'
_cell_length_a 5.331
_cell_length_b 5.331
_cell_length_c 5.331
_cell_angle_alpha 90.00
_cell_angle_beta 90.00
_cell_angle_gamma 90.00
loop_
_atom_site_label
_atom_site_type_symbol
_atom_site_fract_x
_atom_site_fract_y
_atom_site_fract_z
La1 La 0.000 0.000 0.500
Sm1 Sm 0.500 0.500 0.500
C1 C 0.000 0.000 0.000

=====

Record 3
# La2Sm4C PBE relaxed
# Energy of formation in eV/atom: -0.0539
# Polymorph energy (0 for the lowest one) in meV per atom: 0
# Total magnetization in μB/atom: 0.000
data_La2Sm4C
_chemical_formula_sum 'La6 Sm12 C3'
_symmetry_space_group_name_H-M 'R -3 m'
_symmetry_Int_Tables_number 166
_symmetry_space_group_name_Hall '-R 3 2"'
_cell_length_a 3.6809
_cell_length_b 3.6809
_cell_length_c 55.6637
_cell_angle_alpha 90.00
_cell_angle_beta 90.00
_cell_angle_gamma 120.00
loop_
_atom_site_label
_atom_site_type_symbol
_atom_site_fract_x
_atom_site_fract_y
_atom_site_fract_z
La1 La 0.0000 0.0000 0.2452
Sm1 Sm 0.0000 0.0000 0.1399
Sm2 Sm 0.0000 0.0000 0.3584
C1 C 0.0000 0.0000 0.0000

=====

Record 4
# LaSmC PBE relaxed
# Energy of formation in eV/atom: -0.1364
# Polymorph energy (0 for the lowest one) in meV per atom: 1
# Total magnetization in μB/atom: 0.000
data_LaSmC
_chemical_formula_sum 'La1 Sm1 C1'
_symmetry_space_group_name_H-M 'P 3 m 1'
_symmetry_Int_Tables_number 156
_cell_length_a 3.6778
_cell_length_b 3.6778
_cell_length_c 6.7410
_cell_angle_alpha 90.00
_cell_angle_beta 90.00
_cell_angle_gamma 120.00
loop_
_symmetry_equiv_pos_as_xyz
'x,y,z'
'-y,x-y,z'
'-x+y,-x,z'
'-y,-x,z'
'-x+y,y,z'
'x,x-y,z'
loop_
_atom_site_label
_atom_site_type_symbol
_atom_site_fract_x
_atom_site_fract_y
_atom_site_fract_z
La1 La 0.0000 0.0000 0.0000
Sm1 Sm 0.3333 0.6667 0.4215
C1 C 0.6667 0.3333 0.2206